No. 1
Density functional theory data (PBEsol) for an optimized crystal structure of CaTeSeN2.

Calculated values
DOS(E_F) ... 2.6 states/eV/cell
Symmetry ... P4/mmm, No. 123

Unit cell a=4.4162 b=4.4162 c=6.3432 alpha=90.00 beta=90.00 gamma=90.00
Fractional positions:
Ca (0.0000, 0.0000, 0.0000)
Te (0.0000, 0.0000, 0.5000)
Se (0.5000, 0.5000, 0.5000)
N (0.0000, 0.5000, 0.0000)
N (0.5000, 0.0000, 0.0000)


No. 2
Density functional theory data (PBEsol) for an optimized crystal structure of CaZrSe2N.

Calculated values
DOS(E_F) ... 3.4 states/eV/cell
Symmetry ... P4/mmm, No. 123

Unit cell a=5.2054 b=5.2054 c=4.1069 alpha=90.00 beta=90.00 gamma=90.00
Fractional positions:
Ca (0.0000, 0.0000, 0.0000)
Zr (0.5000, 0.5000, 0.5000)
Se (0.0000, 0.5000, 0.0000)
Se (0.5000, 0.0000, 0.0000)
N (0.0000, 0.0000, 0.5000)


No. 3
Density functional theory data (PBEsol) for an optimized crystal structure of Ca3SiN.

Calculated values
DOS(E_F) ... 4.7 states/eV/cell
Symmetry ... Pm-3m, No. 221

Unit cell a=4.7493 b=4.7493 c=4.7493 alpha=90.00 beta=90.00 gamma=90.00
Fractional positions:
Ca (0.0000, 0.0000, 0.5000)
Ca (0.0000, 0.5000, 0.0000)
Ca (0.5000, 0.0000, 0.0000)
Si (0.5000, 0.5000, 0.5000)
N (0.0000, 0.0000, 0.0000)


No. 4
Density functional theory data (PBEsol) for an optimized crystal structure of CaSi2N.

Calculated values
DOS(E_F) ... 5.2 states/eV/cell
Symmetry ... I-42d, No. 122

Unit cell a=5.6220 b=5.6220 c=5.6220 alpha=112.39 beta=112.39 gamma=103.77
Fractional positions:
Ca (0.0000, 0.0000, 0.0000)
Ca (0.7500, 0.2500, 0.5000)
Si (0.2519, 0.1250, 0.6269)
Si (0.3750, 0.7481, 0.8731)
Si (0.4981, 0.6250, 0.3731)
Si (0.8750, 0.5019, 0.1269)
N (0.2500, 0.7500, 0.5000)
N (0.5000, 0.5000, 0.0000)


No. 5
Density functional theory data (PBEsol) for an optimized crystal structure of Ca2SiN.

Calculated values
DOS(E_F) ... 2.8 states/eV/cell
Symmetry ... Fm-3m, No. 225

Unit cell a=4.7466 b=4.7466 c=4.7466 alpha=60.00 beta=60.00 gamma=60.00
Fractional positions:
Ca (0.2500, 0.2500, 0.2500)
Ca (0.7500, 0.7500, 0.7500)
Si (0.0000, 0.0000, 0.0000)
N (0.5000, 0.5000, 0.5000)


No. 6
Density functional theory data (PBEsol) for an optimized crystal structure of Ca7SnN6.

Calculated values
Symmetry ... Ibam, No. 72

Unit cell a=9.1582 b=9.1582 c=9.1582 alpha=139.73 beta=100.38 gamma=93.26
Fractional positions:
Ca (0.0481, 0.2158, 0.2639)
Ca (0.0953, 0.4955, 0.8444)
Ca (0.1510, 0.9955, 0.4002)
Ca (0.2500, 0.2500, 0.0000)
Ca (0.3490, 0.7491, 0.8444)
Ca (0.4047, 0.2491, 0.4002)
Ca (0.4519, 0.7158, 0.1678)
Ca (0.5481, 0.2842, 0.8322)
Ca (0.5953, 0.7509, 0.5998)
Ca (0.6510, 0.2509, 0.1556)
Ca (0.7500, 0.7500, 0.0000)
Ca (0.8490, 0.0045, 0.5998)
Ca (0.9047, 0.5045, 0.1556)
Ca (0.9519, 0.7842, 0.7361)
Sn (0.2500, 0.7500, 0.5000)
Sn (0.7500, 0.2500, 0.5000)
N (0.0620, 0.8803, 0.5884)
N (0.1517, 0.8796, 0.0313)
N (0.2081, 0.6197, 0.1817)
N (0.2919, 0.4736, 0.4116)
N (0.3483, 0.3796, 0.7279)
N (0.4380, 0.0264, 0.8183)
N (0.5620, 0.9736, 0.1817)
N (0.6517, 0.6204, 0.2721)
N (0.7081, 0.5264, 0.5884)
N (0.7919, 0.3803, 0.8183)
N (0.8483, 0.1204, 0.9687)
N (0.9380, 0.1197, 0.4116)


No. 7
Density functional theory data (PBEsol) for an optimized crystal structure of CaSnN.

Calculated values
DOS(E_F) ... 1.5 states/eV/cell
Symmetry ... Pmma, No. 51

Unit cell a=5.9168 b=3.4646 c=5.4260 alpha=90.00 beta=90.00 gamma=90.00
Fractional positions:
Ca (0.2500, 0.0000, 0.1881)
Ca (0.7500, 0.0000, 0.8119)
Sn (0.2500, 0.5000, 0.7117)
Sn (0.7500, 0.5000, 0.2883)
N (0.0000, 0.5000, 0.0000)
N (0.5000, 0.5000, 0.0000)


No. 8
Density functional theory data (PBEsol) for an optimized crystal structure of Ca2SnN2.

Calculated values
DOS(E_F) ... 1.1 states/eV/cell
Symmetry ... Cmce, No. 64

Unit cell a=6.1108 b=6.1108 c=11.9265 alpha=90.00 beta=90.00 gamma=131.04
Fractional positions:
Ca (0.0395, 0.9605, 0.8621)
Ca (0.1382, 0.8618, 0.4536)
Ca (0.3618, 0.6382, 0.9536)
Ca (0.4605, 0.5395, 0.3621)
Ca (0.5395, 0.4605, 0.6379)
Ca (0.6382, 0.3618, 0.0464)
Ca (0.8618, 0.1382, 0.5464)
Ca (0.9605, 0.0395, 0.1379)
Sn (0.2435, 0.7565, 0.6859)
Sn (0.2565, 0.7435, 0.1859)
Sn (0.7435, 0.2565, 0.8141)
Sn (0.7565, 0.2435, 0.3141)
N (0.0611, 0.9389, 0.6411)
N (0.1515, 0.8485, 0.0437)
N (0.3485, 0.6515, 0.5437)
N (0.4389, 0.5611, 0.1411)
N (0.5611, 0.4389, 0.8589)
N (0.6515, 0.3485, 0.4563)
N (0.8485, 0.1515, 0.9563)
N (0.9389, 0.0611, 0.3589)


For the records above, the corresponding DFT total energy values read -3.999; -5.125; -4.842; -5.495; -4.432; -5.865; -5.608; -5.908 eV/atom.
For the records above, the corresponding volume values read 24.7; 22.3; 21.4; 17.0; 18.9; 16.6; 18.5; 16.8 A^3/atom.